Entry 1:
Computed, not measured: a relaxed structure of SmHoMgOs at the PBE-GGA level of DFT.

The structure in CIF format:
```
data_SmHoMgOs
_chemical_formula_sum 'Sm1 Ho1 Mg1 Os1'
_symmetry_space_group_name_H-M 'P 4 m m'
_symmetry_Int_Tables_number 99
_cell_length_a 3.4143
_cell_length_b 3.4143
_cell_length_c 8.6129
_cell_angle_alpha 90.00
_cell_angle_beta 90.00
_cell_angle_gamma 90.00
loop_
_symmetry_equiv_pos_as_xyz
'x,y,z'
'-y,x,z'
'-x,-y,z'
'y,-x,z'
'-x,y,z'
'y,x,z'
'x,-y,z'
'-y,-x,z'
loop_
_atom_site_label
_atom_site_fract_x
_atom_site_fract_y
_atom_site_fract_z
_atom_site_occupancy
Sm1 0.0000 0.0000 0.0000 1
Ho1 0.0000 0.0000 0.6089 1
Mg1 0.5000 0.5000 0.3111 1
Os1 0.5000 0.5000 0.7975 1
```

crystal system: tetragonal
energy of formation from the pure elements: -0.16 eV/atom
ΔE to the lowest computed polymorph: 0 meV/atom

---

Entry 2:
Computed, not measured: a relaxed structure of TbHoMgOs at the PBE-GGA level of DFT.

The structure in CIF format:
```
data_TbHoMgOs
_chemical_formula_sum 'Tb1 Ho1 Mg1 Os1'
_symmetry_space_group_name_H-M 'P 4 m m'
_symmetry_Int_Tables_number 99
_cell_length_a 3.3990
_cell_length_b 3.3990
_cell_length_c 8.4900
_cell_angle_alpha 90.00
_cell_angle_beta 90.00
_cell_angle_gamma 90.00
loop_
_symmetry_equiv_pos_as_xyz
'x,y,z'
'-y,x,z'
'-x,-y,z'
'y,-x,z'
'-x,y,z'
'y,x,z'
'x,-y,z'
'-y,-x,z'
loop_
_atom_site_label
_atom_site_fract_x
_atom_site_fract_y
_atom_site_fract_z
_atom_site_occupancy
Tb1 0.0000 0.0000 0.0000 1
Ho1 0.0000 0.0000 0.6085 1
Mg1 0.5000 0.5000 0.3064 1
Os1 0.5000 0.5000 0.8018 1
```

crystal system: tetragonal
energy of formation from the pure elements: -0.20 eV/atom
ΔE to the lowest computed polymorph: 0 meV/atom

---

Entry 3:
Computed, not measured: a relaxed structure of TbHoMgOs at the PBE-GGA level of DFT.

The structure in CIF format:
```
data_TbHoMgOs
_chemical_formula_sum 'Tb4 Ho4 Mg4 Os4'
_symmetry_space_group_name_H-M 'F -4 3 m'
_symmetry_Int_Tables_number 216
_symmetry_space_group_name_Hall 'F -4 2 3'
_cell_length_a 7.0620
_cell_length_b 7.0620
_cell_length_c 7.0620
_cell_angle_alpha 90.00
_cell_angle_beta 90.00
_cell_angle_gamma 90.00
loop_
_atom_site_label
_atom_site_fract_x
_atom_site_fract_y
_atom_site_fract_z
_atom_site_occupancy
Tb1 0.0000 0.0000 0.0000 1
Ho1 0.0000 0.0000 0.5000 1
Mg1 0.2500 0.2500 0.2500 1
Os1 0.2500 0.2500 0.7500 1
```

crystal system: cubic
energy of formation from the pure elements: -0.14 eV/atom
ΔE to the lowest computed polymorph: 59 meV/atom

---

Entry 4:
Computed, not measured: a relaxed structure of HoTmMgOs at the PBE-GGA level of DFT.

The structure in CIF format:
```
data_HoTmMgOs
_chemical_formula_sum 'Ho4 Tm4 Mg4 Os4'
_symmetry_space_group_name_H-M 'F -4 3 m'
_symmetry_Int_Tables_number 216
_symmetry_space_group_name_Hall 'F -4 2 3'
_cell_length_a 7.0036
_cell_length_b 7.0036
_cell_length_c 7.0036
_cell_angle_alpha 90.00
_cell_angle_beta 90.00
_cell_angle_gamma 90.00
loop_
_atom_site_label
_atom_site_fract_x
_atom_site_fract_y
_atom_site_fract_z
_atom_site_occupancy
Ho1 0.0000 0.0000 0.0000 1
Tm1 0.0000 0.0000 0.5000 1
Mg1 0.2500 0.2500 0.7500 1
Os1 0.2500 0.2500 0.2500 1
```

crystal system: cubic
energy of formation from the pure elements: -0.18 eV/atom
ΔE to the lowest computed polymorph: 66 meV/atom

---

Entry 5:
Computed, not measured: a relaxed structure of HoTmMgOs at the PBE-GGA level of DFT.

The structure in CIF format:
```
data_HoTmMgOs
_chemical_formula_sum 'Ho1 Tm1 Mg1 Os1'
_symmetry_space_group_name_H-M 'P 4 m m'
_symmetry_Int_Tables_number 99
_cell_length_a 3.3839
_cell_length_b 3.3839
_cell_length_c 8.3449
_cell_angle_alpha 90.00
_cell_angle_beta 90.00
_cell_angle_gamma 90.00
loop_
_symmetry_equiv_pos_as_xyz
'x,y,z'
'-y,x,z'
'-x,-y,z'
'y,-x,z'
'-x,y,z'
'y,x,z'
'x,-y,z'
'-y,-x,z'
loop_
_atom_site_label
_atom_site_fract_x
_atom_site_fract_y
_atom_site_fract_z
_atom_site_occupancy
Ho1 0.0000 0.0000 0.0000 1
Tm1 0.0000 0.0000 0.6075 1
Mg1 0.5000 0.5000 0.3063 1
Os1 0.5000 0.5000 0.8013 1
```

crystal system: tetragonal
energy of formation from the pure elements: -0.24 eV/atom
ΔE to the lowest computed polymorph: 0 meV/atom

---

Entry 6:
Computed, not measured: a relaxed structure of YHoMgOs at the PBE-GGA level of DFT.

The structure in CIF format:
```
data_YHoMgOs
_chemical_formula_sum 'Y1 Ho1 Mg1 Os1'
_symmetry_space_group_name_H-M 'P 4 m m'
_symmetry_Int_Tables_number 99
_cell_length_a 3.4423
_cell_length_b 3.4423
_cell_length_c 8.0960
_cell_angle_alpha 90.00
_cell_angle_beta 90.00
_cell_angle_gamma 90.00
loop_
_symmetry_equiv_pos_as_xyz
'x,y,z'
'-y,x,z'
'-x,-y,z'
'y,-x,z'
'-x,y,z'
'y,x,z'
'x,-y,z'
'-y,-x,z'
loop_
_atom_site_label
_atom_site_fract_x
_atom_site_fract_y
_atom_site_fract_z
_atom_site_occupancy
Y1 0.0000 0.0000 0.0000 1
Ho1 0.0000 0.0000 0.5936 1
Mg1 0.5000 0.5000 0.2987 1
Os1 0.5000 0.5000 0.7935 1
```

crystal system: tetragonal
energy of formation from the pure elements: -0.20 eV/atom
ΔE to the lowest computed polymorph: 0 meV/atom